Entry from the Alexandria database: an optimized crystal structure of ReSiPS2 (PBE-GGA).

DFT total energy = -5.565 eV/atom
energy relative to the elements, uncorrected = 0.74 eV/atom
density of states at the Fermi level = 4.5 states/eV per cell

Structure (POSCAR):
```
ReSiPS2
1.0
4.493 0.000 0.000
0.000 4.493 0.000
0.000 0.000 5.018
Re S Si P
1 2 1 1
Cartesian
0.000 0.000 0.000
0.000 2.246 0.000
2.246 0.000 0.000
2.246 2.246 2.509
0.000 0.000 2.509
```

=====

Entry from the Alexandria database: an optimized crystal structure of Co2Ge3S3 (PBE-GGA).

DFT total energy = -5.477 eV/atom
energy relative to the elements, uncorrected = -0.42 eV/atom

Structure (POSCAR):
```
Co2Ge3S3
1.0
-4.268 -5.513 4.025
-1.564 -3.841 -6.900
6.639 -4.451 0.962
Ge S Co
12 12 8
Cartesian
0.851 -10.570 2.533
-0.081 -4.962 1.206
-0.044 -3.234 -4.445
-2.968 -10.006 -3.154
0.887 -8.843 -3.119
-1.266 -9.310 -0.654
-3.071 -4.254 1.640
1.977 -9.209 -0.019
3.878 -9.550 -3.553
-1.171 -4.596 -1.894
3.775 -3.799 1.241
2.072 -4.494 -1.259
1.642 -5.564 -3.372
-0.853 -11.439 -2.818
1.660 -2.365 0.905
3.330 -7.625 -1.226
-0.835 -8.241 1.459
1.932 -6.231 1.568
-1.125 -7.573 -3.481
0.426 -2.003 -2.230
0.381 -11.802 0.318
-2.523 -6.179 -0.687
2.492 -11.317 -2.288
-1.685 -2.487 0.376
2.758 -7.503 -3.412
-1.952 -6.301 1.499
-2.713 -8.028 -1.935
1.350 -8.341 2.039
-0.543 -5.464 -3.952
0.610 -10.442 -1.447
3.520 -5.777 0.022
0.197 -3.363 -0.466
```

=====

Entry from the Alexandria database: an optimized crystal structure of TbPrZnTc (PBE-GGA).

DFT total energy = -5.311 eV/atom
density of states at the Fermi level = 1.6 states/eV per cell
energy of formation = -0.048 eV per atom

Structure (POSCAR):
```
TbPrZnTc
1.0
-3.943 0.964 -2.985
-3.272 -3.666 -1.113
-4.653 0.105 1.929
Tb Pr Tc Zn
1 1 1 1
Cartesian
-8.902 -1.948 -1.627
-2.967 -0.649 -0.542
-5.934 -1.299 -1.084
0.000 0.000 0.000
```

=====

Entry from the Alexandria database: an optimized crystal structure of Tb8Pr3Er2 (PBE-GGA).

DFT total energy = -4.414 eV/atom
density of states at the Fermi level = 20.8 states/eV per cell
energy of formation = 0.240 eV per atom

Structure (POSCAR):
```
Tb8Pr3Er2
1.0
5.639 0.000 0.758
0.000 7.753 0.000
-1.348 -3.877 9.957
Tb Pr Er
8 3 2
Cartesian
2.527 2.260 2.564
-0.978 3.877 7.242
-0.459 3.877 3.454
4.751 0.000 7.261
1.765 -1.617 8.151
1.765 1.617 8.151
2.527 5.493 2.564
5.269 0.000 3.473
2.820 0.000 0.379
0.000 5.485 0.000
0.000 2.268 0.000
2.160 0.000 5.185
2.132 3.877 5.530
```

=====

Entry from the Alexandria database: an optimized crystal structure of CaTaSb2 (PBE-GGA).

DFT total energy = -5.388 eV/atom
energy relative to the elements, uncorrected = 0.14 eV/atom
density of states at the Fermi level = 4.0 states/eV per cell

Structure (POSCAR):
```
CaTaSb2
1.0
-1.393 2.693 -0.693
-1.942 -0.981 2.223
6.208 5.199 7.717
Ta Sb Ca
1 2 1
Cartesian
3.097 2.593 3.850
5.979 5.007 7.432
0.238 2.452 3.133
2.872 4.657 6.407
```

=====

Entry from the Alexandria database: an optimized crystal structure of Y2HfZrBi (PBE-GGA).

DFT total energy = -6.405 eV/atom
density of states at the Fermi level = 4.9 states/eV per cell
energy of formation = 0.657 eV per atom

Structure (POSCAR):
```
Y2HfZrBi
1.0
-4.171 -2.028 -3.096
3.388 -2.327 -3.040
-0.203 -4.532 3.242
Bi Y Hf Zr
1 2 1 1
Cartesian
-0.493 -4.444 -1.447
-0.102 -2.266 1.621
-2.085 -1.014 -1.548
1.694 -1.163 -1.520
0.000 0.000 0.000
```

=====

Entry from the Alexandria database: an optimized crystal structure of Ca2CdCo (PBE-GGA).

DFT total energy = -2.871 eV/atom
density of states at the Fermi level = 7.6 states/eV per cell
energy of formation = 0.136 eV per atom

Structure (POSCAR):
```
Ca2CdCo
1.0
5.085 0.000 0.000
0.000 5.085 0.000
0.000 0.000 3.788
Ca Cd Co
2 1 1
Cartesian
2.542 2.542 0.000
0.000 0.000 0.000
2.542 0.000 1.894
0.000 2.542 1.894
```

=====

Entry from the Alexandria database: an optimized crystal structure of K3Te2O6 (PBE-GGA).

DFT total energy = -4.942 eV/atom
energy relative to the elements, uncorrected = -1.37 eV/atom
density of states at the Fermi level = 1.9 states/eV per cell

Structure (POSCAR):
```
K3Te2O6
1.0
4.180 0.000 0.000
0.000 4.180 0.000
-2.090 -2.090 11.022
O K Te
6 3 2
Cartesian
0.000 2.090 9.039
0.000 2.090 1.982
2.090 2.090 4.113
0.000 0.000 6.909
2.090 0.000 1.982
2.090 0.000 9.039
0.000 0.000 4.196
0.000 0.000 0.000
2.090 2.090 6.825
0.000 0.000 8.782
2.090 2.090 2.240
```

=====

Entry from the Alexandria database: an optimized crystal structure of Ir2NF (PBE-GGA).

DFT total energy = -5.731 eV/atom
energy relative to the elements, uncorrected = 1.25 eV/atom
density of states at the Fermi level = 6.8 states/eV per cell

Structure (POSCAR):
```
Ir2NF
1.0
0.000 2.831 2.831
2.831 0.000 2.831
2.831 2.831 0.000
Ir N F
2 1 1
Cartesian
4.246 4.246 4.246
1.415 1.415 1.415
0.000 0.000 0.000
2.831 2.831 2.831
```

=====

Entry from the Alexandria database: an optimized crystal structure of CdSb2 (PBE-GGA).

DFT total energy = -2.868 eV/atom
energy relative to the elements, uncorrected = 0.19 eV/atom
density of states at the Fermi level = 1.7 states/eV per cell

Structure (POSCAR):
```
CdSb2
1.0
-2.814 -1.240 -1.211
2.663 0.254 -1.940
2.448 -7.831 2.334
Cd Sb
1 2
Cartesian
0.000 0.000 0.000
-0.236 -3.148 -0.737
2.534 -5.670 -0.080
```

=====

Entry from the Alexandria database: an optimized crystal structure of BeRePb (PBE-GGA).

DFT total energy = -5.822 eV/atom
density of states at the Fermi level = 1.7 states/eV per cell
energy of formation = 0.806 eV per atom

Structure (POSCAR):
```
BeRePb
1.0
4.107 0.000 0.000
-2.054 3.557 0.000
0.000 0.000 3.406
Re Be Pb
1 1 1
Cartesian
0.000 2.371 2.838
0.000 0.000 2.838
2.054 1.186 1.136
```

=====

Entry from the Alexandria database: an optimized crystal structure of Rb2SI6F (PBE-GGA).

DFT total energy = -2.336 eV/atom
energy relative to the elements, uncorrected = -0.61 eV/atom
density of states at the Fermi level = 6.6 states/eV per cell

Structure (POSCAR):
```
Rb2SI6F
1.0
7.743 0.000 0.000
0.000 7.743 0.000
3.872 3.872 6.128
I Rb F S
6 2 1 1
Cartesian
7.743 7.743 2.762
1.964 1.964 0.000
5.779 1.964 0.000
1.964 5.779 0.000
3.872 3.872 3.366
5.779 5.779 0.000
3.872 7.743 3.064
7.743 3.872 3.064
3.872 3.872 0.000
0.000 0.000 0.000
```

=====

Entry from the Alexandria database: an optimized crystal structure of In3AsOs (PBE-GGA).

DFT total energy = -4.247 eV/atom
density of states at the Fermi level = 3.7 states/eV per cell
energy of formation = 0.572 eV per atom

Structure (POSCAR):
```
In3AsOs
1.0
5.187 0.000 0.000
0.000 5.187 0.000
0.000 0.000 5.187
In As Os
3 1 1
Cartesian
0.000 2.593 0.000
0.000 0.000 2.593
2.593 0.000 0.000
2.593 2.593 2.593
0.000 0.000 0.000
```